(1)
# SrLi3Bi

Crystalline SrLi3Bi at its relaxed geometry (PBEsol, Alexandria via LeMat-Bulk).

a b c (Å): 5.305 5.305 5.305
angles (deg): 90.00 90.00 90.00
Element x y z (fractional)
Sr 0.500 0.500 0.500
Li 0.000 0.000 0.500
Li 0.000 0.500 0.000
Li 0.500 0.000 0.000
Bi 0.000 0.000 0.000

Output
DFT total energy in eV per cell: -13.096
SG: Pm-3m, No. 221

(2)
# YMgP2

Crystalline YMgP2 at its relaxed geometry (PBEsol, Alexandria via LeMat-Bulk).

a b c (Å): 3.851 3.851 5.690
angles (deg): 109.78 109.78 90.00
Element x y z (fractional)
P 0.750 0.250 0.500
P 0.000 0.000 0.000
Mg 0.250 0.750 0.500
Y 0.500 0.500 0.000

Output
DFT total energy in eV per cell: -23.136
SG: I-4m2, No. 119

(3)
# InTeF2

Crystalline InTeF2 at its relaxed geometry (PBEsol, Alexandria via LeMat-Bulk).

a b c (Å): 4.554 4.554 4.554
angles (deg): 60.00 60.00 60.00
Element x y z (fractional)
F 0.750 0.750 0.750
F 0.250 0.250 0.250
Te 0.500 0.500 0.500
In 0.000 0.000 0.000

Output
Excess energy over the best structure of this formula in the dataset in eV/atom: 0.176
DFT total energy in eV per cell: -13.863
SG: Fm-3m, No. 225
Uncorrected formation energy in kcal/mol of atoms: -20.2

(4)
# Ni2MoPb

Crystalline Ni2MoPb at its relaxed geometry (PBEsol, Alexandria via LeMat-Bulk).

a b c (Å): 4.373 4.373 4.373
angles (deg): 60.00 60.00 60.00
Element x y z (fractional)
Mo 0.500 0.500 0.500
Ni 0.750 0.750 0.750
Ni 0.000 0.000 0.000
Pb 0.250 0.250 0.250

Output
DFT total energy in eV per cell: -25.991
SG: F-43m, No. 216

(5)
# CrSeN2F

Crystalline CrSeN2F at its relaxed geometry (PBEsol, Alexandria via LeMat-Bulk).

a b c (Å): 3.843 3.843 3.977
angles (deg): 90.00 90.00 90.00
Element x y z (fractional)
Se 0.000 0.000 0.000
N 0.500 0.000 0.000
N 0.000 0.500 0.000
F 0.000 0.000 0.500
Cr 0.500 0.500 0.500

Output
Excess energy over the best structure of this formula in the dataset in eV/atom: 0.000
DFT total energy in eV per cell: -28.493
SG: P4/mmm, No. 123
Uncorrected formation energy in kcal/mol of atoms: 21.1

(6)
# CuPtSN2

Crystalline CuPtSN2 at its relaxed geometry (PBEsol, Alexandria via LeMat-Bulk).

a b c (Å): 3.463 3.463 6.427
angles (deg): 90.00 90.00 90.00
Element x y z (fractional)
N 0.500 0.000 0.000
N 0.000 0.500 0.000
Cu 0.000 0.000 0.000
Pt 0.500 0.500 0.500
S 0.000 0.000 0.500

Output
DFT total energy in eV per cell: -24.817
SG: P4/mmm, No. 123
Uncorrected formation energy in kcal/mol of atoms: 36.5

Number 1: magnetic moment 0.00 μB per cell. Number 2: magnetic moment 0.00 μB per cell. Number 3: magnetic moment 0.00 μB per cell. Number 4: magnetic moment 0.83 μB per cell. Number 5: magnetic moment 3.70 μB per cell. Number 6: magnetic moment 1.83 μB per cell.